1.
# SCAN Mo2IrOs, single point on PBEsol structure
data_Mo2IrOs
_chemical_formula_sum 'Mo2 Ir1 Os1'
_cell_length_a 2.734
_cell_length_b 3.883
_cell_length_c 5.485
_cell_angle_alpha 90.00
_cell_angle_beta 90.00
_cell_angle_gamma 90.00
_space_group_name_H-M_alt 'P m m m'
_space_group_IT_number 47
_space_group_name_Hall '-P 2 2'
loop_
_atom_site_label
_atom_site_type_symbol
_atom_site_fract_x
_atom_site_fract_y
_atom_site_fract_z
Mo1 Mo 0.000 0.000 0.247
Ir1 Ir 0.500 0.500 0.500
Os1 Os 0.500 0.500 0.000
# calculated volume: 14.6 Å³ per atom
# ΔE_f: -0.17 eV per atom


2.
# SCAN Li5Mg3, single point on PBEsol structure
data_Li5Mg3
_chemical_formula_sum 'Li10 Mg6'
_cell_length_a 8.3477
_cell_length_b 8.3477
_cell_length_c 5.5002
_cell_angle_alpha 90.00
_cell_angle_beta 90.00
_cell_angle_gamma 120.00
_space_group_name_H-M_alt 'P 63/m c m'
_space_group_IT_number 193
_space_group_name_Hall '-P 6c 2'
loop_
_atom_site_label
_atom_site_type_symbol
_atom_site_fract_x
_atom_site_fract_y
_atom_site_fract_z
Li1 Li 0.0000 0.2305 0.2500
Li2 Li 0.3333 0.6667 0.0000
Mg1 Mg 0.0000 0.4054 0.7500
# calculated volume: 20.7 Å³ per atom
# ΔE_f: 0.03 eV per atom


3.
# SCAN Co4RePt, single point on PBEsol structure
data_Co4RePt
_chemical_formula_sum 'Co16 Re4 Pt4'
_cell_length_a 6.480
_cell_length_b 6.480
_cell_length_c 6.480
_cell_angle_alpha 90.00
_cell_angle_beta 90.00
_cell_angle_gamma 90.00
_space_group_name_H-M_alt 'F -4 3 m'
_space_group_IT_number 216
_space_group_name_Hall 'F -4 2 3'
loop_
_atom_site_label
_atom_site_type_symbol
_atom_site_fract_x
_atom_site_fract_y
_atom_site_fract_z
Co1 Co 0.125 0.125 0.125
Re1 Re 0.250 0.250 0.750
Pt1 Pt 0.000 0.000 0.500
# calculated volume: 11.3 Å³ per atom
# ΔE_f: 0.14 eV per atom


4.
# SCAN Li3VAs2O9, single point on PBEsol structure
data_Li3VAs2O9
_chemical_formula_sum 'Li12 V4 As8 O36'
_cell_length_a 9.820
_cell_length_b 8.915
_cell_length_c 8.585
_cell_angle_alpha 90.00
_cell_angle_beta 90.00
_cell_angle_gamma 90.00
_space_group_name_H-M_alt 'P n a 21'
_space_group_IT_number 33
_space_group_name_Hall 'P 2c -2n'
loop_
_atom_site_label
_atom_site_type_symbol
_atom_site_fract_x
_atom_site_fract_y
_atom_site_fract_z
Li1 Li 0.147 0.156 0.000
Li2 Li 0.156 0.625 0.283
Li3 Li 0.170 0.344 0.751
V1 V 0.062 0.246 0.388
As1 As 0.005 0.937 0.197
As2 As 0.011 0.562 0.566
O1 O 0.008 0.364 0.567
O2 O 0.008 0.918 0.993
O3 O 0.032 0.131 0.202
O4 O 0.032 0.417 0.263
O5 O 0.115 0.364 0.961
O6 O 0.139 0.843 0.268
O7 O 0.147 0.119 0.766
O8 O 0.169 0.610 0.518
O9 O 0.222 0.240 0.412
# calculated volume: 12.5 Å³ per atom
# ΔE_f (raw): -1.94 eV per atom


5.
# SCAN Ge5Te4Se, single point on PBEsol structure
data_Ge5Te4Se
_chemical_formula_sum 'Ge10 Te8 Se2'
_cell_length_a 4.132
_cell_length_b 4.132
_cell_length_c 29.141
_cell_angle_alpha 90.00
_cell_angle_beta 90.00
_cell_angle_gamma 90.00
_space_group_name_H-M_alt 'I 4/m m m'
_space_group_IT_number 139
_space_group_name_Hall '-I 4 2'
loop_
_atom_site_label
_atom_site_type_symbol
_atom_site_fract_x
_atom_site_fract_y
_atom_site_fract_z
Ge1 Ge 0.000 0.000 0.000
Ge2 Ge 0.000 0.000 0.201
Ge3 Ge 0.000 0.000 0.404
Te1 Te 0.000 0.000 0.100
Te2 Te 0.000 0.000 0.301
Se1 Se 0.000 0.000 0.500
# calculated volume: 24.9 Å³ per atom
# ΔE_f (raw): -0.05 eV per atom


6.
# SCAN CrSb2Pb, single point on PBEsol structure
data_CrSb2Pb
_chemical_formula_sum 'Cr1 Sb2 Pb1'
_cell_length_a 3.333
_cell_length_b 3.333
_cell_length_c 8.402
_cell_angle_alpha 90.00
_cell_angle_beta 90.00
_cell_angle_gamma 90.00
_space_group_name_H-M_alt 'P 4 m m'
_space_group_IT_number 99
_space_group_name_Hall 'P 4 -2'
loop_
_atom_site_label
_atom_site_type_symbol
_atom_site_fract_x
_atom_site_fract_y
_atom_site_fract_z
Cr1 Cr 0.000 0.000 0.000
Sb1 Sb 0.000 0.000 0.536
Sb2 Sb 0.500 0.500 0.823
Pb1 Pb 0.500 0.500 0.232
# calculated volume: 23.3 Å³ per atom
# ΔE_f (raw): 0.24 eV per atom


7.
# SCAN CsCoHg2O, single point on PBEsol structure
data_CsCoHg2O
_chemical_formula_sum 'Cs1 Co1 Hg2 O1'
_cell_length_a 4.751
_cell_length_b 4.751
_cell_length_c 5.575
_cell_angle_alpha 90.00
_cell_angle_beta 90.00
_cell_angle_gamma 90.00
_space_group_name_H-M_alt 'P 4/m m m'
_space_group_IT_number 123
_space_group_name_Hall '-P 4 2'
loop_
_atom_site_label
_atom_site_type_symbol
_atom_site_fract_x
_atom_site_fract_y
_atom_site_fract_z
Cs1 Cs 0.000 0.000 0.000
Co1 Co 0.500 0.500 0.000
Hg1 Hg 0.000 0.500 0.500
O1 O 0.000 0.000 0.500
# calculated volume: 25.2 Å³ per atom
# ΔE_f (raw): 0.45 eV per atom


8.
# SCAN KAlOs2, single point on PBEsol structure
data_KAlOs2
_chemical_formula_sum 'K1 Al1 Os2'
_cell_length_a 3.890
_cell_length_b 3.890
_cell_length_c 4.422
_cell_angle_alpha 90.00
_cell_angle_beta 90.00
_cell_angle_gamma 90.00
_space_group_name_H-M_alt 'P 4/m m m'
_space_group_IT_number 123
_space_group_name_Hall '-P 4 2'
loop_
_atom_site_label
_atom_site_type_symbol
_atom_site_fract_x
_atom_site_fract_y
_atom_site_fract_z
K1 K 0.000 0.000 0.000
Al1 Al 0.500 0.500 0.000
Os1 Os 0.000 0.500 0.500
# calculated volume: 16.7 Å³ per atom
# ΔE_f: 1.49 eV per atom


9.
# SCAN K2ZnSbTe, single point on PBEsol structure
data_K2ZnSbTe
_chemical_formula_sum 'K2 Zn1 Sb1 Te1'
_cell_length_a 6.630
_cell_length_b 6.630
_cell_length_c 4.732
_cell_angle_alpha 90.00
_cell_angle_beta 90.00
_cell_angle_gamma 90.00
_space_group_name_H-M_alt 'P 4/m m m'
_space_group_IT_number 123
_space_group_name_Hall '-P 4 2'
loop_
_atom_site_label
_atom_site_type_symbol
_atom_site_fract_x
_atom_site_fract_y
_atom_site_fract_z
K1 K 0.000 0.500 0.000
Zn1 Zn 0.000 0.000 0.500
Sb1 Sb 0.000 0.000 0.000
Te1 Te 0.500 0.500 0.500
# calculated volume: 41.6 Å³ per atom
# ΔE_f (raw): -0.17 eV per atom


10.
# SCAN Sr2AgPb, single point on PBEsol structure
data_Sr2AgPb
_chemical_formula_sum 'Sr8 Ag4 Pb4'
_cell_length_a 7.742
_cell_length_b 7.742
_cell_length_c 7.742
_cell_angle_alpha 90.00
_cell_angle_beta 90.00
_cell_angle_gamma 90.00
_space_group_name_H-M_alt 'F -4 3 m'
_space_group_IT_number 216
_space_group_name_Hall 'F -4 2 3'
loop_
_atom_site_label
_atom_site_type_symbol
_atom_site_fract_x
_atom_site_fract_y
_atom_site_fract_z
Sr1 Sr 0.000 0.000 0.000
Sr2 Sr 0.250 0.250 0.250
Ag1 Ag 0.250 0.250 0.750
Pb1 Pb 0.000 0.000 0.500
# calculated volume: 29.0 Å³ per atom
# ΔE_f: -0.23 eV per atom


11.
# SCAN Tc2AsOs, single point on PBEsol structure
data_Tc2AsOs
_chemical_formula_sum 'Tc6 As3 Os3'
_cell_length_a 2.8016
_cell_length_b 2.8016
_cell_length_c 25.0305
_cell_angle_alpha 90.00
_cell_angle_beta 90.00
_cell_angle_gamma 120.00
_space_group_name_H-M_alt 'R 3 m'
_space_group_IT_number 160
_space_group_name_Hall 'R 3 -2"'
loop_
_atom_site_label
_atom_site_type_symbol
_atom_site_fract_x
_atom_site_fract_y
_atom_site_fract_z
Tc1 Tc 0.0000 0.0000 0.0000
Tc2 Tc 0.0000 0.0000 0.2489
As1 As 0.0000 0.0000 0.7480
Os1 Os 0.0000 0.0000 0.4971
# calculated volume: 14.2 Å³ per atom
# ΔE_f: 0.14 eV per atom


12.
# SCAN ReTcC2, single point on PBEsol structure
data_ReTcC2
_chemical_formula_sum 'Re4 Tc4 C8'
_cell_length_a 4.583
_cell_length_b 4.583
_cell_length_c 9.194
_cell_angle_alpha 90.00
_cell_angle_beta 90.00
_cell_angle_gamma 90.00
_space_group_name_H-M_alt 'I -4 2 d'
_space_group_IT_number 122
_space_group_name_Hall 'I -4 2bw'
loop_
_atom_site_label
_atom_site_type_symbol
_atom_site_fract_x
_atom_site_fract_y
_atom_site_fract_z
Re1 Re 0.000 0.000 0.000
Tc1 Tc 0.000 0.000 0.500
C1 C 0.249 0.250 0.125
# calculated volume: 12.1 Å³ per atom
# ΔE_f: 0.63 eV per atom


Q: Number 8 is which compound?
A: KAlOs2


Q: Which of these has the lowest calculated volume?
A: Co4RePt


Q: Which value of calculated volume does entry 4 give?
A: 12.5 Å³ per atom


Q: Which value of calculated volume does entry 12 give?
A: 12.1 Å³ per atom